[1]
## Y2Er3Ga2 (PBE-GGA)

Data for an optimized crystal structure of Y2Er3Ga2.

**Space group**: C2/m
**Formation energy from the elements**: -345 meV per atom
**M_tot**: 0.00 μB/cell
**Total DFT energy (no corrections)**: -0.184 hartree per atom

Cell and atoms, written as CIF:
```
data_Y2Er3Ga2
_symmetry_space_group_name_H-M 'P 1'
_symmetry_Int_Tables_number 1
_cell_length_a 6.628
_cell_length_b 6.628
_cell_length_c 8.754
_cell_angle_alpha 113.19
_cell_angle_beta 113.19
_cell_angle_gamma 33.07
loop_
_symmetry_equiv_pos_as_xyz
'x,y,z'
loop_
_atom_site_label
_atom_site_fract_x
_atom_site_fract_y
_atom_site_fract_z
_atom_site_occupancy
Y1 0.146 0.146 0.307 1
Y2 0.854 0.854 0.693 1
Er1 0.386 0.386 0.061 1
Er2 0.500 0.500 0.500 1
Er3 0.614 0.614 0.939 1
Ga1 0.180 0.180 0.718 1
Ga2 0.820 0.820 0.282 1
```



[2]
## YErGa2 (PBE-GGA)

Data for an optimized crystal structure of YErGa2.

**Space group**: P4/mmm
**Formation energy from the elements**: -592 meV per atom
**M_tot**: 0.00 μB/cell
**Total DFT energy (no corrections)**: -0.179 hartree per atom
**E above lowest polymorph**: 55 meV per atom

Cell and atoms, written as CIF:
```
data_YErGa2
_symmetry_space_group_name_H-M 'P 1'
_symmetry_Int_Tables_number 1
_cell_length_a 3.563
_cell_length_b 3.563
_cell_length_c 7.115
_cell_angle_alpha 90.00
_cell_angle_beta 90.00
_cell_angle_gamma 90.00
loop_
_symmetry_equiv_pos_as_xyz
'x,y,z'
loop_
_atom_site_label
_atom_site_fract_x
_atom_site_fract_y
_atom_site_fract_z
_atom_site_occupancy
Y1 0.000 0.000 0.000 1
Er1 0.000 0.000 0.500 1
Ga1 0.500 0.500 0.254 1
Ga2 0.500 0.500 0.746 1
```



[3]
## YErZnGa (PBE-GGA)

Data for an optimized crystal structure of YErZnGa.

**Space group**: F-43m
**Formation energy from the elements**: -490 meV per atom
**M_tot**: 0.00 μB/cell
**Total DFT energy (no corrections)**: -0.159 hartree per atom
**E above lowest polymorph**: 0 meV per atom

Cell and atoms, written as CIF:
```
data_YErZnGa
_symmetry_space_group_name_H-M 'P 1'
_symmetry_Int_Tables_number 1
_cell_length_a 5.033
_cell_length_b 5.033
_cell_length_c 5.033
_cell_angle_alpha 60.00
_cell_angle_beta 60.00
_cell_angle_gamma 60.00
loop_
_symmetry_equiv_pos_as_xyz
'x,y,z'
loop_
_atom_site_label
_atom_site_fract_x
_atom_site_fract_y
_atom_site_fract_z
_atom_site_occupancy
Y1 0.000 0.000 0.000 1
Er1 0.500 0.500 0.500 1
Zn1 0.750 0.750 0.750 1
Ga1 0.250 0.250 0.250 1
```



[4]
## YErZnGa (PBE-GGA)

Data for an optimized crystal structure of YErZnGa.

**Space group**: P4mm
**Formation energy from the elements**: -486 meV per atom
**M_tot**: 0.00 μB/cell
**Total DFT energy (no corrections)**: -0.159 hartree per atom
**E above lowest polymorph**: 4 meV per atom

Cell and atoms, written as CIF:
```
data_YErZnGa
_symmetry_space_group_name_H-M 'P 1'
_symmetry_Int_Tables_number 1
_cell_length_a 3.564
_cell_length_b 3.564
_cell_length_c 7.098
_cell_angle_alpha 90.00
_cell_angle_beta 90.00
_cell_angle_gamma 90.00
loop_
_symmetry_equiv_pos_as_xyz
'x,y,z'
loop_
_atom_site_label
_atom_site_fract_x
_atom_site_fract_y
_atom_site_fract_z
_atom_site_occupancy
Y1 0.000 0.000 0.000 1
Er1 0.000 0.000 0.497 1
Zn1 0.500 0.500 0.255 1
Ga1 0.500 0.500 0.744 1
```



[5]
## YEr2Zn2Ga2 (PBE-GGA)

Data for an optimized crystal structure of YEr2Zn2Ga2.

**Space group**: R-3m
**Formation energy from the elements**: -399 meV per atom
**M_tot**: 0.00 μB/cell
**Total DFT energy (no corrections)**: -0.142 hartree per atom

Cell and atoms, written as CIF:
```
data_YEr2Zn2Ga2
_symmetry_space_group_name_H-M 'P 1'
_symmetry_Int_Tables_number 1
_cell_length_a 9.405
_cell_length_b 9.405
_cell_length_c 9.405
_cell_angle_alpha 27.26
_cell_angle_beta 27.26
_cell_angle_gamma 27.26
loop_
_symmetry_equiv_pos_as_xyz
'x,y,z'
loop_
_atom_site_label
_atom_site_fract_x
_atom_site_fract_y
_atom_site_fract_z
_atom_site_occupancy
Y1 0.000 0.000 0.000 1
Er1 0.127 0.127 0.127 1
Er2 0.873 0.873 0.873 1
Zn1 0.399 0.399 0.399 1
Zn2 0.601 0.601 0.601 1
Ga1 0.261 0.261 0.261 1
Ga2 0.739 0.739 0.739 1
```



[6]
## Er2ZnGa12 (PBE-GGA)

Data for an optimized crystal structure of Er2ZnGa12.

**Space group**: P4/nbm
**Formation energy from the elements**: -233 meV per atom
**M_tot**: 0.00 μB/cell
**Total DFT energy (no corrections)**: -0.123 hartree per atom

Cell and atoms, written as CIF:
```
data_Er2ZnGa12
_symmetry_space_group_name_H-M 'P 1'
_symmetry_Int_Tables_number 1
_cell_length_a 6.214
_cell_length_b 6.214
_cell_length_c 15.037
_cell_angle_alpha 90.00
_cell_angle_beta 90.00
_cell_angle_gamma 90.00
loop_
_symmetry_equiv_pos_as_xyz
'x,y,z'
loop_
_atom_site_label
_atom_site_fract_x
_atom_site_fract_y
_atom_site_fract_z
_atom_site_occupancy
Er1 0.250 0.750 0.246 1
Er2 0.250 0.750 0.754 1
Er3 0.750 0.250 0.246 1
Er4 0.750 0.250 0.754 1
Zn1 0.250 0.750 0.000 1
Zn2 0.750 0.250 0.000 1
Ga1 0.000 0.000 0.091 1
Ga2 0.000 0.000 0.909 1
Ga3 0.000 0.500 0.091 1
Ga4 0.000 0.500 0.909 1
Ga5 0.084 0.584 0.429 1
Ga6 0.084 0.916 0.571 1
Ga7 0.250 0.250 0.184 1
Ga8 0.250 0.250 0.346 1
Ga9 0.250 0.250 0.654 1
Ga10 0.250 0.250 0.816 1
Ga11 0.416 0.584 0.571 1
Ga12 0.416 0.916 0.429 1
Ga13 0.500 0.000 0.091 1
Ga14 0.500 0.000 0.909 1
Ga15 0.500 0.500 0.091 1
Ga16 0.500 0.500 0.909 1
Ga17 0.584 0.084 0.571 1
Ga18 0.584 0.416 0.429 1
Ga19 0.750 0.750 0.184 1
Ga20 0.750 0.750 0.346 1
Ga21 0.750 0.750 0.654 1
Ga22 0.750 0.750 0.816 1
Ga23 0.916 0.084 0.429 1
Ga24 0.916 0.416 0.571 1
```



[7]
## Er3Zn2Ga4 (PBE-GGA)

Data for an optimized crystal structure of Er3Zn2Ga4.

**Space group**: C2/m
**Formation energy from the elements**: -579 meV per atom
**M_tot**: 0.00 μB/cell
**Total DFT energy (no corrections)**: -0.137 hartree per atom

Cell and atoms, written as CIF:
```
data_Er3Zn2Ga4
_symmetry_space_group_name_H-M 'P 1'
_symmetry_Int_Tables_number 1
_cell_length_a 5.678
_cell_length_b 5.678
_cell_length_c 8.369
_cell_angle_alpha 109.02
_cell_angle_beta 109.02
_cell_angle_gamma 45.22
loop_
_symmetry_equiv_pos_as_xyz
'x,y,z'
loop_
_atom_site_label
_atom_site_fract_x
_atom_site_fract_y
_atom_site_fract_z
_atom_site_occupancy
Er1 0.000 0.000 0.000 1
Er2 0.331 0.331 0.333 1
Er3 0.669 0.669 0.667 1
Zn1 0.396 0.396 0.727 1
Zn2 0.604 0.604 0.273 1
Ga1 0.065 0.065 0.399 1
Ga2 0.294 0.294 0.959 1
Ga3 0.706 0.706 0.041 1
Ga4 0.935 0.935 0.601 1
```



[8]
## Er3Zn3Ga (PBE-GGA)

Data for an optimized crystal structure of Er3Zn3Ga.

**Space group**: Imm2
**Formation energy from the elements**: -398 meV per atom
**M_tot**: 0.00 μB/cell
**Total DFT energy (no corrections)**: -0.122 hartree per atom

Cell and atoms, written as CIF:
```
data_Er3Zn3Ga
_symmetry_space_group_name_H-M 'P 1'
_symmetry_Int_Tables_number 1
_cell_length_a 9.963
_cell_length_b 9.963
_cell_length_c 9.963
_cell_angle_alpha 159.48
_cell_angle_beta 154.27
_cell_angle_gamma 33.13
loop_
_symmetry_equiv_pos_as_xyz
'x,y,z'
loop_
_atom_site_label
_atom_site_fract_x
_atom_site_fract_y
_atom_site_fract_z
_atom_site_occupancy
Er1 0.000 0.000 0.000 1
Er2 0.388 0.388 0.000 1
Er3 0.693 0.193 0.500 1
Zn1 0.126 0.626 0.500 1
Zn2 0.554 0.554 0.000 1
Zn3 0.835 0.835 0.000 1
Ga1 0.259 0.759 0.500 1
```



[9]
## ErZnGa (PBE-GGA)

Data for an optimized crystal structure of ErZnGa.

**Space group**: P4/mmm
**Formation energy from the elements**: 77 meV per atom
**M_tot**: 0.00 μB/cell
**Total DFT energy (no corrections)**: -0.106 hartree per atom

Cell and atoms, written as CIF:
```
data_ErZnGa
_symmetry_space_group_name_H-M 'P 1'
_symmetry_Int_Tables_number 1
_cell_length_a 4.064
_cell_length_b 4.064
_cell_length_c 4.698
_cell_angle_alpha 90.00
_cell_angle_beta 90.00
_cell_angle_gamma 90.00
loop_
_symmetry_equiv_pos_as_xyz
'x,y,z'
loop_
_atom_site_label
_atom_site_fract_x
_atom_site_fract_y
_atom_site_fract_z
_atom_site_occupancy
Er1 0.000 0.000 0.000 1
Zn1 0.500 0.500 0.500 1
Ga1 0.500 0.500 0.000 1
```



[10]
## Er2ZnGa5 (PBE-GGA)

Data for an optimized crystal structure of Er2ZnGa5.

**Space group**: I4mm
**Formation energy from the elements**: -491 meV per atom
**M_tot**: 0.00 μB/cell
**Total DFT energy (no corrections)**: -0.135 hartree per atom

Cell and atoms, written as CIF:
```
data_Er2ZnGa5
_symmetry_space_group_name_H-M 'P 1'
_symmetry_Int_Tables_number 1
_cell_length_a 5.974
_cell_length_b 5.974
_cell_length_c 5.974
_cell_angle_alpha 119.96
_cell_angle_beta 119.96
_cell_angle_gamma 90.07
loop_
_symmetry_equiv_pos_as_xyz
'x,y,z'
loop_
_atom_site_label
_atom_site_fract_x
_atom_site_fract_y
_atom_site_fract_z
_atom_site_occupancy
Er1 0.000 0.500 0.500 1
Er2 0.500 0.000 0.500 1
Zn1 0.001 0.001 0.000 1
Ga1 0.000 0.000 0.499 1
Ga2 0.000 0.500 0.000 1
Ga3 0.499 0.499 0.000 1
Ga4 0.500 0.000 0.000 1
Ga5 0.500 0.500 0.501 1
```



[11]
## Er6ZnGa2 (PBE-GGA)

Data for an optimized crystal structure of Er6ZnGa2.

**Space group**: Immm
**Formation energy from the elements**: -358 meV per atom
**M_tot**: 0.00 μB/cell
**Total DFT energy (no corrections)**: -0.155 hartree per atom
**E above lowest polymorph**: 0 meV per atom

Cell and atoms, written as CIF:
```
data_Er6ZnGa2
_symmetry_space_group_name_H-M 'P 1'
_symmetry_Int_Tables_number 1
_cell_length_a 8.467
_cell_length_b 8.467
_cell_length_c 8.467
_cell_angle_alpha 112.01
_cell_angle_beta 111.19
_cell_angle_gamma 105.30
loop_
_symmetry_equiv_pos_as_xyz
'x,y,z'
loop_
_atom_site_label
_atom_site_fract_x
_atom_site_fract_y
_atom_site_fract_z
_atom_site_occupancy
Er1 0.030 0.823 0.206 1
Er2 0.246 0.551 0.305 1
Er3 0.246 0.941 0.695 1
Er4 0.271 0.322 0.593 1
Er5 0.271 0.678 0.949 1
Er6 0.383 0.177 0.206 1
Er7 0.617 0.823 0.794 1
Er8 0.729 0.322 0.051 1
Er9 0.729 0.678 0.407 1
Er10 0.754 0.059 0.305 1
Er11 0.754 0.449 0.695 1
Er12 0.970 0.177 0.794 1
Zn1 0.000 0.500 0.500 1
Zn2 0.500 0.000 0.500 1
Ga1 0.000 0.148 0.148 1
Ga2 0.000 0.852 0.852 1
Ga3 0.377 0.377 0.000 1
Ga4 0.623 0.623 0.000 1
```